Record 1
VASP calculation (PBE) on a relaxed structure of BaSmMg2In2.

Unit cell a=5.080 b=5.080 c=8.366 alpha=90.00 beta=90.00 gamma=120.00
Fractional positions:
1 In 0.667 0.333 0.701
2 In 0.333 0.667 0.299
3 Sm 0.000 0.000 0.500
4 Mg 0.333 0.667 0.690
5 Mg 0.667 0.333 0.310
6 Ba 0.000 0.000 0.000

Output
ΔH_f (0 K) (eV per atom): -0.36
Space-group type: P-3m1

---

Record 2
VASP calculation (PBE) on a relaxed structure of Ba2Mg4In3Sn.

Unit cell a=4.959 b=4.959 c=12.280 alpha=90.00 beta=90.00 gamma=90.00
Fractional positions:
1 Mg 0.500 0.000 0.633
2 Mg 0.000 0.000 0.000
3 Mg 0.500 0.500 0.000
4 Mg 0.000 0.500 0.367
5 Ba 0.500 0.000 0.254
6 Ba 0.000 0.500 0.746
7 Sn 0.500 0.500 0.500
8 In 0.000 0.500 0.133
9 In 0.000 0.000 0.500
10 In 0.500 0.000 0.867

Output
ΔH_f (0 K) (eV per atom): -0.32
Space-group type: P-4m2

---

Record 3
VASP calculation (PBE) on a relaxed structure of Ba2MgIn4Sn3.

Unit cell a=4.973 b=4.973 c=12.895 alpha=90.00 beta=90.00 gamma=90.00
Fractional positions:
1 Sn 0.000 0.000 0.500
2 Sn 0.500 0.000 0.863
3 Sn 0.000 0.500 0.137
4 In 0.500 0.000 0.633
5 In 0.000 0.000 0.000
6 In 0.500 0.500 0.000
7 In 0.000 0.500 0.367
8 Mg 0.500 0.500 0.500
9 Ba 0.000 0.500 0.751
10 Ba 0.500 0.000 0.249

Output
ΔH_f (0 K) (eV per atom): -0.33
Space-group type: P-4m2

---

Record 4
VASP calculation (PBE) on a relaxed structure of Ba2Mg3InSn4.

Unit cell a=5.008 b=5.008 c=12.048 alpha=90.00 beta=90.00 gamma=90.00
Fractional positions:
1 Mg 0.000 0.500 0.128
2 Mg 0.000 0.000 0.500
3 Mg 0.500 0.000 0.872
4 Sn 0.500 0.000 0.637
5 Sn 0.000 0.500 0.363
6 Sn 0.500 0.500 0.000
7 Sn 0.000 0.000 0.000
8 Ba 0.500 0.000 0.245
9 Ba 0.000 0.500 0.755
10 In 0.500 0.500 0.500

Output
ΔH_f (0 K) (eV per atom): -0.44
Space-group type: P-4m2

---

Record 5
VASP calculation (PBE) on a relaxed structure of Ba2MgIn3Sn4.

Unit cell a=5.120 b=5.120 c=12.213 alpha=90.00 beta=90.00 gamma=90.00
Fractional positions:
1 Ba 0.500 0.000 0.247
2 Ba 0.000 0.500 0.753
3 Sn 0.000 0.000 0.000
4 Sn 0.000 0.500 0.370
5 Sn 0.500 0.000 0.630
6 Sn 0.500 0.500 0.000
7 In 0.000 0.000 0.500
8 In 0.500 0.000 0.869
9 In 0.000 0.500 0.131
10 Mg 0.500 0.500 0.500

Output
ΔH_f (0 K) (eV per atom): -0.36
Space-group type: P-4m2

---

Record 6
VASP calculation (PBE) on a relaxed structure of Ba2MgIn6Sn.

Unit cell a=7.858 b=7.708 c=7.928 alpha=91.08 beta=46.04 gamma=108.75
Fractional positions:
1 In 0.750 0.563 0.174
2 In 0.803 0.795 0.508
3 In 0.310 0.807 0.009
4 In 0.197 0.205 0.492
5 In 0.690 0.193 0.991
6 In 0.250 0.437 0.826
7 Ba 0.259 0.751 0.504
8 Ba 0.741 0.249 0.496
9 Mg 0.500 0.500 0.000
10 Sn 0.000 0.000 0.000

Output
ΔH_f (0 K) (eV per atom): -0.25
Space-group type: P-1

---

Record 7
VASP calculation (PBE) on a relaxed structure of Ba2MgInSn.

Unit cell a=6.470 b=5.167 c=6.470 alpha=90.00 beta=90.00 gamma=90.00
Fractional positions:
1 Ba 0.500 0.000 0.000
2 Ba 0.000 0.000 0.500
3 In 0.000 0.500 0.000
4 Mg 0.000 0.000 0.000
5 Sn 0.500 0.500 0.500

Output
ΔH_f (0 K) (eV per atom): 0.11
Space-group type: P4/mmm

---

Record 8
VASP calculation (PBE) on a relaxed structure of Ba2SrMgIn2.

Unit cell a=5.425 b=8.815 c=9.575 alpha=90.00 beta=90.00 gamma=90.00
Fractional positions:
1 Ba 0.500 0.506 0.873
2 Ba 0.000 0.354 0.158
3 Ba 0.000 0.854 0.842
4 Ba 0.500 0.006 0.127
5 Sr 0.000 0.020 0.468
6 Sr 0.000 0.520 0.532
7 In 0.000 0.249 0.800
8 In 0.500 0.290 0.409
9 In 0.500 0.790 0.591
10 In 0.000 0.749 0.200
11 Mg 0.500 0.127 0.696
12 Mg 0.500 0.627 0.304

Output
ΔH_f (0 K) (eV per atom): -0.27
Space-group type: Pmc2_1

---

Record 9
VASP calculation (PBE) on a relaxed structure of Ba2SrMg12In3.

Unit cell a=11.651 b=11.651 c=11.651 alpha=42.26 beta=42.26 gamma=42.26
Fractional positions:
1 In 0.500 0.000 0.000
2 In 0.000 0.000 0.500
3 In 0.000 0.500 0.000
4 Mg 0.771 0.771 0.144
5 Mg 0.229 0.229 0.856
6 Mg 0.771 0.144 0.771
7 Mg 0.147 0.147 0.507
8 Mg 0.493 0.853 0.853
9 Mg 0.147 0.507 0.147
10 Mg 0.507 0.147 0.147
11 Mg 0.853 0.493 0.853
12 Mg 0.853 0.853 0.493
13 Mg 0.144 0.771 0.771
14 Mg 0.229 0.856 0.229
15 Mg 0.856 0.229 0.229
16 Ba 0.630 0.630 0.630
17 Ba 0.370 0.370 0.370
18 Sr 0.000 0.000 0.000

Output
ΔH_f (0 K) (eV per atom): 0.19
Space-group type: R-3m

---

Record 10
VASP calculation (PBE) on a relaxed structure of Ba2SrMg2In2.

Unit cell a=5.253 b=5.253 c=11.024 alpha=76.22 beta=76.22 gamma=60.00
Fractional positions:
1 Ba 0.875 0.875 0.374
2 Ba 0.125 0.125 0.626
3 Mg 0.612 0.612 0.164
4 Mg 0.388 0.388 0.836
5 In 0.268 0.268 0.195
6 In 0.732 0.732 0.805
7 Sr 0.000 0.000 0.000

Output
ΔH_f (0 K) (eV per atom): -0.26
Space-group type: R-3m

---

Record 11
VASP calculation (PBE) on a relaxed structure of BaTbMgIn.

Unit cell a=5.696 b=5.696 c=5.696 alpha=60.00 beta=60.00 gamma=60.00
Fractional positions:
1 Tb 0.750 0.750 0.750
2 In 0.500 0.500 0.500
3 Mg 0.000 0.000 0.000
4 Ba 0.250 0.250 0.250

Output
ΔH_f (0 K) (eV per atom): -0.16
Space-group type: F-43m

---

Record 12
VASP calculation (PBE) on a relaxed structure of BaTbMg2In4.

Unit cell a=4.938 b=4.938 c=11.539 alpha=77.65 beta=77.65 gamma=60.00
Fractional positions:
1 In 0.400 0.400 0.799
2 In 0.877 0.877 0.368
3 In 0.600 0.600 0.201
4 In 0.123 0.123 0.632
5 Ba 0.000 0.000 0.000
6 Mg 0.767 0.767 0.700
7 Mg 0.233 0.233 0.300
8 Tb 0.500 0.500 0.500

Output
ΔH_f (0 K) (eV per atom): -0.31
Space-group type: R-3m